SrMg2Ir2 (meta-GGA SCAN, PBEsol geometry); final energy = -35.239 eV per atom; space group = I4/mmm; formation enthalpy at 0 K = -0.354 eV/atom
1.0
4.378 0.000 0.000
0.000 4.378 0.000
-2.189 -2.189 5.448
Ir Mg Sr
2 2 1
direct
0.389 0.389 0.779
0.611 0.611 0.221
0.250 0.750 0.500
0.750 0.250 0.500
0.000 0.000 0.000



ZrScCu2 (meta-GGA SCAN, PBEsol geometry); final energy = -18.695 eV per atom; energy relative to the lowest polymorph listed for this composition = 38.87 kJ/mol of atoms; space group = R-3m; formation enthalpy at 0 K = 0.139 eV/atom
1.0
3.090 0.000 0.000
1.545 2.676 0.000
1.545 0.892 8.444
Zr Sc Cu
1 1 2
direct
0.000 0.000 0.000
0.500 0.500 0.500
0.248 0.248 0.256
0.752 0.752 0.744



TcP4H36C12Br2 (meta-GGA SCAN, PBEsol geometry); final energy = -6.820 eV per atom; space group = I-42m
1.0
-0.534 -8.376 3.429
8.237 2.829 -2.521
3.982 -1.352 8.033
C H Tc Br P
12 36 1 2 4
direct
0.451 0.440 0.763
0.481 0.652 0.348
0.519 0.171 0.829
0.203 0.763 0.786
0.000 0.829 0.652
0.000 0.348 0.171
0.797 0.560 0.989
0.549 0.989 0.214
0.451 0.237 0.560
0.797 0.011 0.440
0.203 0.214 0.237
0.549 0.786 0.011
0.565 0.027 0.320
0.510 0.549 0.319
0.869 0.319 0.171
0.366 0.477 0.731
0.653 0.973 0.462
0.435 0.115 0.538
0.653 0.538 0.027
0.324 0.600 0.400
0.000 0.724 0.600
0.490 0.040 0.829
0.208 0.731 0.903
0.208 0.097 0.269
0.676 0.276 0.724
0.366 0.269 0.523
0.792 0.523 0.112
0.000 0.400 0.276
0.177 0.652 0.739
0.823 0.084 0.525
0.510 0.681 0.451
0.347 0.320 0.115
0.869 0.829 0.681
0.391 0.916 0.261
0.792 0.888 0.477
0.634 0.112 0.097
0.131 0.451 0.040
0.435 0.462 0.885
0.565 0.680 0.973
0.490 0.171 0.960
0.131 0.960 0.549
0.634 0.903 0.888
0.609 0.348 0.475
0.391 0.739 0.084
0.177 0.261 0.348
0.823 0.475 0.916
0.609 0.525 0.652
0.347 0.885 0.680
0.000 0.000 0.000
0.000 0.789 0.211
0.000 0.211 0.789
0.000 0.146 0.205
0.000 0.795 0.854
0.350 0.205 0.795
0.650 0.854 0.146



AgPdI2O (meta-GGA SCAN, PBEsol geometry); final energy = -28.754 eV per atom; ΔE_f (raw) = 0.02 eV per atom; space group = P4/mmm
1.0
3.817 0.000 0.000
0.000 5.491 0.000
0.000 0.000 5.491
Ag Pd I O
1 1 2 1
direct
0.500 0.500 0.500
0.000 0.000 0.000
0.000 0.500 0.000
0.000 0.000 0.500
0.500 0.000 0.000



KAuBr2 (meta-GGA SCAN, PBEsol geometry); final energy = -29.866 eV per atom; ΔE_f (raw) = -0.76 eV per atom; energy relative to the lowest polymorph listed for this composition = 19.27 kJ/mol of atoms; space group = R3m
1.0
4.312 0.000 0.000
2.156 3.734 0.000
2.156 1.245 6.945
Br K Au
2 1 1
direct
0.735 0.735 0.796
0.934 0.934 0.199
0.502 0.502 0.495
0.330 0.330 0.010



ZnSnBr2 (meta-GGA SCAN, PBEsol geometry); final energy = -22.178 eV per atom; ΔE_f (raw) = -0.09 eV per atom; energy relative to the lowest polymorph listed for this composition = 9.11 kJ/mol of atoms; space group = Fm-3m
1.0
5.206 0.000 0.000
2.603 4.508 0.000
2.603 1.503 4.250
Br Zn Sn
2 1 1
direct
0.750 0.750 0.750
0.250 0.250 0.250
0.000 0.000 0.000
0.500 0.500 0.500



LaAsO4 (meta-GGA SCAN, PBEsol geometry); final energy = -17.328 eV per atom; ΔE_f (raw) = -2.62 eV per atom; space group = I4_1/a
1.0
5.182 0.000 0.000
0.000 5.182 0.000
-2.591 -2.591 5.884
O La As
8 2 2
direct
0.193 0.074 0.656
0.787 0.168 0.844
0.926 0.537 0.344
0.463 0.582 0.656
0.418 0.807 0.344
0.832 0.943 0.156
0.057 0.676 0.844
0.324 0.213 0.156
0.500 0.500 0.000
0.750 0.250 0.500
0.250 0.750 0.500
0.000 0.000 0.000



Ni2P5O16 (meta-GGA SCAN, PBEsol geometry); final energy = -10.007 eV per atom; ΔE_f (raw) = -2.01 eV per atom; space group = P2/c
1.0
4.804 0.000 -0.017
0.000 6.550 0.000
-0.256 0.000 18.393
O P Ni
32 10 4
direct
0.076 0.336 0.577
0.854 0.887 0.193
0.066 0.067 0.432
0.924 0.336 0.923
0.425 0.974 0.116
0.425 0.026 0.616
0.790 0.395 0.788
0.583 0.415 0.617
0.640 0.785 0.995
0.640 0.215 0.495
0.360 0.785 0.505
0.360 0.215 0.005
0.854 0.113 0.693
0.146 0.887 0.307
0.575 0.974 0.384
0.417 0.585 0.383
0.770 0.319 0.369
0.230 0.319 0.131
0.583 0.585 0.117
0.924 0.664 0.423
0.230 0.681 0.631
0.076 0.664 0.077
0.770 0.681 0.869
0.417 0.415 0.883
0.934 0.933 0.568
0.210 0.395 0.712
0.934 0.067 0.068
0.790 0.605 0.288
0.575 0.026 0.884
0.210 0.605 0.212
0.146 0.113 0.807
0.066 0.933 0.932
0.272 0.444 0.629
0.272 0.556 0.129
0.728 0.444 0.871
0.757 0.128 0.425
0.757 0.872 0.925
0.728 0.556 0.371
0.000 0.760 0.250
0.243 0.128 0.075
0.243 0.872 0.575
0.000 0.240 0.750
0.244 0.171 0.906
0.756 0.829 0.094
0.244 0.829 0.406
0.756 0.171 0.594



CeGa8Pd3 (meta-GGA SCAN, PBEsol geometry); final energy = -23.413 eV per atom; space group = R-3m; formation enthalpy at 0 K = -0.608 eV/atom
1.0
8.390 0.006 0.006
0.037 8.390 0.006
0.037 0.037 8.390
Ga Pd Ce
24 9 3
direct
0.857 0.160 0.160
0.514 0.267 0.267
0.644 0.644 0.990
0.500 0.739 0.261
0.733 0.733 0.486
0.261 0.500 0.739
0.261 0.739 0.500
0.010 0.356 0.356
0.644 0.990 0.644
0.160 0.160 0.857
0.739 0.261 0.500
0.500 0.261 0.739
0.267 0.514 0.267
0.840 0.143 0.840
0.990 0.644 0.644
0.486 0.733 0.733
0.733 0.486 0.733
0.840 0.840 0.143
0.267 0.267 0.514
0.356 0.356 0.010
0.160 0.857 0.160
0.143 0.840 0.840
0.356 0.010 0.356
0.739 0.500 0.261
0.838 0.838 0.838
0.337 0.663 0.000
0.000 0.663 0.337
0.663 0.337 0.000
0.000 0.337 0.663
0.337 0.000 0.663
0.500 0.500 0.500
0.663 0.000 0.337
0.162 0.162 0.162
0.500 0.000 0.000
0.000 0.000 0.500
0.000 0.500 0.000



TcH3Au (meta-GGA SCAN, PBEsol geometry); final energy = -22.425 eV per atom; space group = Pm-3m
1.0
-2.301 -0.346 2.559
1.574 -2.905 1.022
2.047 1.845 2.090
H Tc Au
3 1 1
direct
0.000 0.500 0.000
0.500 0.000 0.000
0.000 0.000 0.500
0.000 0.000 0.000
0.500 0.500 0.500



RbCaCd2Sb (meta-GGA SCAN, PBEsol geometry); final energy = -25.110 eV per atom; ΔE_f (raw) = 0.59 eV per atom; space group = P4/mmm
1.0
-2.632 -4.828 1.703
4.993 -2.844 -0.344
1.218 1.422 5.913
Cd Rb Ca Sb
2 1 1 1
direct
0.000 0.500 0.000
0.500 0.000 0.000
0.000 0.000 0.000
0.500 0.500 0.500
0.000 0.000 0.500



Tl2TcRu (meta-GGA SCAN, PBEsol geometry); final energy = -52.830 eV per atom; energy relative to the lowest polymorph listed for this composition = 40.32 kJ/mol of atoms; space group = P4/mmm; formation enthalpy at 0 K = 0.821 eV/atom
1.0
-1.910 -1.470 2.179
-2.139 -2.268 -3.405
3.062 -3.436 0.365
Ru Tl Tc
1 2 1
direct
0.500 0.500 0.500
0.000 0.500 0.000
0.000 0.000 0.500
0.500 0.000 0.000



KTl2Os (meta-GGA SCAN, PBEsol geometry); final energy = -55.722 eV per atom; energy relative to the lowest polymorph listed for this composition = 0.00 kJ/mol of atoms; space group = Imm2; formation enthalpy at 0 K = 0.510 eV/atom
1.0
3.109 0.000 0.000
0.000 4.479 0.000
-1.555 -2.240 7.830
Tl K Os
2 1 1
direct
0.751 0.751 0.502
0.914 0.414 0.828
0.570 0.070 0.139
0.265 0.265 0.531



KHgBr2 (meta-GGA SCAN, PBEsol geometry); final energy = -29.777 eV per atom; ΔE_f (raw) = -0.92 eV per atom; space group = P2/m
1.0
4.023 0.000 0.000
0.000 4.013 0.033
0.000 -0.149 7.894
K Hg Br
1 1 2
direct
0.500 0.500 0.000
0.500 0.000 0.500
0.000 0.996 0.778
0.000 0.004 0.222



BeHgW (meta-GGA SCAN, PBEsol geometry); final energy = -46.427 eV per atom; space group = F-43m; formation enthalpy at 0 K = 0.975 eV/atom
1.0
4.030 0.000 0.000
2.015 3.490 0.000
2.015 1.163 3.291
Be Hg W
1 1 1
direct
0.250 0.250 0.250
0.000 0.000 0.000
0.500 0.500 0.500



LaZn2W (meta-GGA SCAN, PBEsol geometry); final energy = -34.700 eV per atom; energy relative to the lowest polymorph listed for this composition = 0.00 kJ/mol of atoms; space group = P4/mmm; formation enthalpy at 0 K = 0.256 eV/atom
1.0
-0.821 2.016 -1.918
1.743 -1.187 -1.993
-6.336 -5.012 -2.556
La Zn W
1 2 1
direct
0.500 0.500 0.000
0.000 0.000 0.713
0.000 0.000 0.287
0.500 0.500 0.500



TcSb2Te (meta-GGA SCAN, PBEsol geometry); final energy = -35.908 eV per atom; ΔE_f (raw) = 0.80 eV per atom; energy relative to the lowest polymorph listed for this composition = 32.11 kJ/mol of atoms; space group = P4/mmm
1.0
-2.046 1.170 -3.413
3.318 -0.931 -2.308
-1.787 -4.877 -0.601
Sb Te Tc
2 1 1
direct
0.500 0.000 0.000
0.000 0.500 0.000
0.000 0.000 0.500
0.500 0.500 0.500



Y2Zn3 (meta-GGA SCAN, PBEsol geometry); final energy = -19.668 eV per atom; space group = Fdd2; formation enthalpy at 0 K = -0.422 eV/atom
1.0
-3.210 -0.053 4.502
4.342 -3.422 -0.122
3.722 7.066 0.929
Zn Y
6 4
direct
0.936 0.589 0.746
0.186 0.686 0.500
0.843 0.190 0.254
0.839 0.686 0.246
0.440 0.593 0.754
0.936 0.936 0.000
0.513 0.171 0.899
0.864 0.022 0.601
0.421 0.263 0.399
0.272 0.614 0.101



SrLi2Si (meta-GGA SCAN, PBEsol geometry); final energy = -9.328 eV per atom; ΔE_f (raw) = -0.06 eV per atom; space group = P4mm
1.0
-0.976 3.037 1.395
-2.035 -1.693 2.261
5.796 -0.397 4.920
Si Li Sr
1 2 1
direct
0.000 0.000 0.435
0.000 0.000 0.079
0.500 0.500 0.279
0.500 0.500 0.707



ZnRe3 (meta-GGA SCAN, PBEsol geometry); final energy = -56.303 eV per atom; space group = Pm-3m; formation enthalpy at 0 K = 0.399 eV/atom
1.0
3.849 0.000 0.000
0.000 3.849 0.000
0.000 0.000 3.849
Re Zn
3 1
direct
0.500 0.000 0.000
0.000 0.000 0.500
0.000 0.500 0.000
0.500 0.500 0.500